A plane-wave DFT calculation with PBE-GGA was carried out for a geometry-optimized Ta2TiV structure.

Computed properties:
- E_tot: -10.102 eV/atom
- Density of states at the Fermi level: 2.170 states/eV per atom
- Total magnetization: 0.055 μB per atom
- Space-group type: No. 225

abc: 4.5533 4.5533 4.5533
angles: 60.00 60.00 60.00
Sites, in units of the cell vectors:
Ta  0.2500  0.2500  0.2500
Ta  0.7500  0.7500  0.7500
Ti  0.0000  0.0000  0.0000
V  0.5000  0.5000  0.5000